# Be2ZnSe (GGA-PBE, relaxed)
# Raw total energy in eV per atom: -2.796
# Formation energy (no corrections) in meV/atom: 256
data_Be2ZnSe
_chemical_formula_sum 'Be6 Zn3 Se3'
_space_group_name_H-M_alt 'R -3 m'
_space_group_IT_number 166
_space_group_name_Hall '-R 3 2"'
_cell_length_a 3.3200
_cell_length_b 3.3200
_cell_length_c 18.3323
_cell_angle_alpha 90.00
_cell_angle_beta 90.00
_cell_angle_gamma 120.00
loop_
_atom_site_label
_atom_site_fract_x
_atom_site_fract_y
_atom_site_fract_z
Be1 0.0000 0.0000 0.2415
Zn1 0.0000 0.0000 0.0000
Se1 0.0000 0.0000 0.5000